MgZr2MnHg: optimized geometry, PBEsol.

Calculated values
E_form   0.288 eV per atom
Magnetic moment   0.00 μB per formula unit

```
MgZr2MnHg
1.0
4.6357 0.0000 0.0000
0.0000 4.6357 0.0000
0.0000 0.0000 4.9432
Mg Zr Mn Hg
1 2 1 1
Cartesian
0.0000 0.0000 0.0000 Mg
0.0000 2.3179 2.4716 Zr
2.3179 0.0000 2.4716 Zr
0.0000 0.0000 2.4716 Mn
2.3179 2.3179 0.0000 Hg
```